(1)
The following is a DFT calculation (GGA-PBE) of MnNiSe2 after structural relaxation.

Summary:
Space group: Cmmm
Polymorph energy (0 for the lowest one): 399 meV per atom
DFT total energy: -5.408 eV/atom
N(E_F): 7.64 states/eV per cell
Formation energy from raw total energies: 0.3 eV/f.u.

a b c (Å): 3.532 7.194 6.782
angles (deg): 90.00 90.00 90.00
Positions (direct):
Mn (0.000, 0.000, 0.000)
Mn (0.500, 0.500, 0.000)
Ni (0.000, 0.000, 0.500)
Ni (0.500, 0.500, 0.500)
Se (0.000, 0.500, 0.266)
Se (0.000, 0.500, 0.734)
Se (0.500, 0.000, 0.266)
Se (0.500, 0.000, 0.734)

=====

(2)
The following is a DFT calculation (GGA-PBE) of Mn2NiSe after structural relaxation.

Summary:
Space group: R3m
DFT total energy: -6.635 eV/atom
N(E_F): 7.39 states/eV per cell
Formation energy from raw total energies: 1.1 eV/f.u.

a b c (Å): 2.885 2.885 23.108
angles (deg): 90.00 90.00 120.00
Positions (direct):
Mn (0.000, 0.000, 0.000)
Mn (0.000, 0.000, 0.246)
Mn (0.333, 0.667, 0.667)
Mn (0.333, 0.667, 0.912)
Mn (0.667, 0.333, 0.333)
Mn (0.667, 0.333, 0.579)
Ni (0.000, 0.000, 0.498)
Ni (0.333, 0.667, 0.165)
Ni (0.667, 0.333, 0.831)
Se (0.000, 0.000, 0.740)
Se (0.333, 0.667, 0.407)
Se (0.667, 0.333, 0.073)

=====

(3)
The following is a DFT calculation (GGA-PBE) of Mn2NiSe after structural relaxation.

Summary:
Space group: P4mm
DFT total energy: -6.795 eV/atom
N(E_F): 2.53 states/eV per cell
Formation energy from raw total energies: 0.4 eV/f.u.

a b c (Å): 3.058 3.058 5.518
angles (deg): 90.00 90.00 90.00
Positions (direct):
Mn (0.000, 0.000, 0.000)
Mn (0.500, 0.500, 0.269)
Ni (0.000, 0.000, 0.492)
Se (0.500, 0.500, 0.780)

=====

(4)
The following is a DFT calculation (GGA-PBE) of Mn3NiSe after structural relaxation.

Summary:
Space group: Pm-3m
Polymorph energy (0 for the lowest one): 0 meV per atom
DFT total energy: -6.774 eV/atom
N(E_F): 3.28 states/eV per cell
Formation energy from raw total energies: 2.9 eV/f.u.

a b c (Å): 4.535 4.535 4.535
angles (deg): 90.00 90.00 90.00
Positions (direct):
Mn (0.000, 0.000, 0.500)
Mn (0.000, 0.500, 0.000)
Mn (0.500, 0.000, 0.000)
Ni (0.000, 0.000, 0.000)
Se (0.500, 0.500, 0.500)

=====

(5)
The following is a DFT calculation (GGA-PBE) of MnNiSe2 after structural relaxation.

Summary:
Space group: Cm
Polymorph energy (0 for the lowest one): 91 meV per atom
DFT total energy: -5.716 eV/atom
N(E_F): 4.89 states/eV per cell
Formation energy from raw total energies: -0.9 eV/f.u.

a b c (Å): 6.409 3.708 6.849
angles (deg): 90.00 108.44 90.00
Positions (direct):
Mn (0.000, 0.000, 0.000)
Mn (0.500, 0.500, 0.000)
Ni (0.240, 0.500, 0.218)
Ni (0.740, 0.000, 0.218)
Se (0.267, 0.000, 0.803)
Se (0.446, 0.000, 0.335)
Se (0.767, 0.500, 0.803)
Se (0.946, 0.500, 0.335)

=====

(6)
The following is a DFT calculation (GGA-PBE) of MnNi2Se after structural relaxation.

Summary:
Space group: Imm2
DFT total energy: -6.008 eV/atom
N(E_F): 4.88 states/eV per cell
Formation energy from raw total energies: 0.2 eV/f.u.

a b c (Å): 3.376 3.907 7.987
angles (deg): 90.00 90.00 90.00
Positions (direct):
Mn (0.000, 0.000, 0.000)
Mn (0.500, 0.500, 0.500)
Ni (0.000, 0.000, 0.531)
Ni (0.000, 0.500, 0.772)
Ni (0.500, 0.000, 0.272)
Ni (0.500, 0.500, 0.031)
Se (0.000, 0.500, 0.244)
Se (0.500, 0.000, 0.744)

=====

(7)
The following is a DFT calculation (GGA-PBE) of MnNiSe3 after structural relaxation.

Summary:
Space group: Ima2
Polymorph energy (0 for the lowest one): 166 meV per atom
DFT total energy: -5.250 eV/atom
N(E_F): 5.64 states/eV per cell
Formation energy from raw total energies: -0.8 eV/f.u.

a b c (Å): 6.805 6.805 6.805
angles (deg): 111.68 96.24 121.46
Positions (direct):
Mn (0.184, 0.250, 0.434)
Mn (0.816, 0.750, 0.566)
Ni (0.007, 0.525, 0.982)
Ni (0.543, 0.025, 0.018)
Se (0.132, 0.804, 0.828)
Se (0.538, 0.262, 0.366)
Se (0.538, 0.672, 0.776)
Se (0.896, 0.172, 0.634)
Se (0.896, 0.762, 0.224)
Se (0.976, 0.304, 0.172)

=====

(8)
The following is a DFT calculation (GGA-PBE) of MnNiSe after structural relaxation.

Summary:
Space group: P3m1
Polymorph energy (0 for the lowest one): 83 meV per atom
DFT total energy: -6.177 eV/atom
N(E_F): 1.38 states/eV per cell
Formation energy from raw total energies: -0.1 eV/f.u.

a b c (Å): 3.945 3.945 3.464
angles (deg): 90.00 90.00 120.00
Positions (direct):
Mn (0.000, 0.000, 0.000)
Ni (0.333, 0.667, 0.466)
Se (0.667, 0.333, 0.514)

=====

(9)
The following is a DFT calculation (GGA-PBE) of MnNi2Se after structural relaxation.

Summary:
Space group: P2/m
DFT total energy: -5.995 eV/atom
N(E_F): 2.54 states/eV per cell
Formation energy from raw total energies: 0.2 eV/f.u.

a b c (Å): 3.010 3.794 4.965
angles (deg): 90.00 106.10 90.00
Positions (direct):
Mn (0.000, 0.000, 0.000)
Ni (0.379, 0.500, 0.746)
Ni (0.621, 0.500, 0.254)
Se (0.500, 0.000, 0.500)

=====

(10)
The following is a DFT calculation (GGA-PBE) of MnNiSe2 after structural relaxation.

Summary:
Space group: Fm-3m
Polymorph energy (0 for the lowest one): 388 meV per atom
DFT total energy: -5.419 eV/atom
N(E_F): 7.27 states/eV per cell
Formation energy from raw total energies: 0.2 eV/f.u.

a b c (Å): 6.310 6.310 6.310
angles (deg): 90.00 90.00 90.00
Positions (direct):
Mn (0.000, 0.000, 0.000)
Mn (0.000, 0.500, 0.500)
Mn (0.500, 0.000, 0.500)
Mn (0.500, 0.500, 0.000)
Ni (0.000, 0.000, 0.500)
Ni (0.000, 0.500, 0.000)
Ni (0.500, 0.000, 0.000)
Ni (0.500, 0.500, 0.500)
Se (0.250, 0.250, 0.250)
Se (0.250, 0.250, 0.750)
Se (0.250, 0.750, 0.250)
Se (0.250, 0.750, 0.750)
Se (0.750, 0.250, 0.250)
Se (0.750, 0.250, 0.750)
Se (0.750, 0.750, 0.250)
Se (0.750, 0.750, 0.750)

=====

(11)
The following is a DFT calculation (GGA-PBE) of MnNiSe2 after structural relaxation.

Summary:
Space group: P4mm
Polymorph energy (0 for the lowest one): 34 meV per atom
DFT total energy: -5.773 eV/atom
N(E_F): 1.46 states/eV per cell
Formation energy from raw total energies: -1.2 eV/f.u.

a b c (Å): 3.347 3.347 6.573
angles (deg): 90.00 90.00 90.00
Positions (direct):
Mn (0.000, 0.000, 0.000)
Ni (0.500, 0.500, 0.221)
Se (0.000, 0.000, 0.359)
Se (0.500, 0.500, 0.860)

=====

(12)
The following is a DFT calculation (GGA-PBE) of MnNi2Se after structural relaxation.

Summary:
Space group: C2/m
DFT total energy: -6.005 eV/atom
N(E_F): 5.35 states/eV per cell
Formation energy from raw total energies: 0.2 eV/f.u.

a b c (Å): 8.251 3.222 4.148
angles (deg): 90.00 106.60 90.00
Positions (direct):
Mn (0.000, 0.000, 0.000)
Mn (0.500, 0.500, 0.000)
Ni (0.247, 0.000, 0.751)
Ni (0.253, 0.500, 0.249)
Ni (0.747, 0.500, 0.751)
Ni (0.753, 0.000, 0.249)
Se (0.000, 0.500, 0.500)
Se (0.500, 0.000, 0.500)